DFT (GGA+U) results for a relaxed structure of CdMoI2O.

abc: 6.0002 6.0002 3.9202
angles: 90.00 90.00 90.00
With the nearest neighbours (Å) after each atom.
Fractional coordinates of all 5 atoms:
Cd 0.0000 0.0000 0.0000  8 I 3.58, 2 Cd 3.92
Mo 0.5000 0.5000 0.5000  2 O 1.96
I 0.0000 0.5000 0.5000  2 Mo 3.00
I 0.5000 0.0000 0.5000  2 Mo 3.00
O 0.5000 0.5000 0.0000  2 Mo 1.96

Summary:
Energy in eV per atom: -3.576
ΔE to the lowest computed polymorph in eV/atom: 0.000
Magnetic moment in μB per cell: 2.76